Compound: Ba8Os3N8
Source: Alexandria
Functional: GGA-PBE
Structure: optimized geometry

Results
Formation energy without anion corrections: -0.468 eV/atom
VASP energy: -249.1 eV per cell

Cell and atoms, written as CIF:
```
data_Ba8Os3N8
_symmetry_space_group_name_H-M 'C 1 2/m 1'
_symmetry_Int_Tables_number 12
_symmetry_space_group_name_Hall '-C 2y'
_cell_length_a 20.203
_cell_length_b 5.739
_cell_length_c 8.046
_cell_angle_alpha 90.00
_cell_angle_beta 106.24
_cell_angle_gamma 90.00
loop_
_atom_site_label
_atom_site_type_symbol
_atom_site_fract_x
_atom_site_fract_y
_atom_site_fract_z
Ba1 Ba 0.025 0.000 0.265
Ba2 Ba 0.104 0.500 0.945
Ba3 Ba 0.167 0.500 0.468
Ba4 Ba 0.204 0.000 0.799
Os1 Os 0.000 0.500 0.500
Os2 Os 0.185 0.000 0.199
N1 N 0.023 0.500 0.295
N2 N 0.105 0.000 0.015
N3 N 0.178 0.000 0.423
N4 N 0.226 0.500 0.833
```

Compound: LiTaS3
Source: Alexandria
Functional: GGA-PBE
Structure: optimized geometry

Results
Formation energy without anion corrections: -0.727 eV/atom
VASP energy: -29.8 eV per cell

Cell and atoms, written as CIF:
```
data_LiTaS3
_symmetry_space_group_name_H-M 'P m -3 m'
_symmetry_Int_Tables_number 221
_symmetry_space_group_name_Hall '-P 4 2 3'
_cell_length_a 4.805
_cell_length_b 4.805
_cell_length_c 4.805
_cell_angle_alpha 90.00
_cell_angle_beta 90.00
_cell_angle_gamma 90.00
loop_
_atom_site_label
_atom_site_type_symbol
_atom_site_fract_x
_atom_site_fract_y
_atom_site_fract_z
Li1 Li 0.000 0.000 0.000
Ta1 Ta 0.500 0.500 0.500
S1 S 0.000 0.500 0.500
```

Compound: Mg4TlSn4
Source: Alexandria
Functional: GGA-PBE
Structure: optimized geometry

Results
VASP energy: -50.3 eV per cell
Energy of formation: -0.041 eV/atom

Cell and atoms, written as CIF:
```
data_Mg4TlSn4
_symmetry_space_group_name_H-M 'I 4/m'
_symmetry_Int_Tables_number 87
_symmetry_space_group_name_Hall '-I 4'
_cell_length_a 11.383
_cell_length_b 11.383
_cell_length_c 3.472
_cell_angle_alpha 90.00
_cell_angle_beta 90.00
_cell_angle_gamma 90.00
loop_
_atom_site_label
_atom_site_type_symbol
_atom_site_fract_x
_atom_site_fract_y
_atom_site_fract_z
Mg1 Mg 0.143 0.185 0.000
Tl1 Tl 0.000 0.000 0.500
Sn1 Sn 0.044 0.676 0.500
```

Compound: Ho3Mg2Cd7
Source: Alexandria
Functional: GGA-PBE
Structure: optimized geometry

Results
VASP energy: -50.5 eV per cell
Energy of formation: -0.162 eV/atom

Cell and atoms, written as CIF:
```
data_Ho3Mg2Cd7
_symmetry_space_group_name_H-M 'C m m m'
_symmetry_Int_Tables_number 65
_symmetry_space_group_name_Hall '-C 2 2'
_cell_length_a 5.003
_cell_length_b 31.534
_cell_length_c 3.703
_cell_angle_alpha 90.00
_cell_angle_beta 90.00
_cell_angle_gamma 90.00
loop_
_atom_site_label
_atom_site_type_symbol
_atom_site_fract_x
_atom_site_fract_y
_atom_site_fract_z
Ho1 Ho 0.000 0.000 0.000
Ho2 Ho 0.000 0.182 0.000
Mg1 Mg 0.000 0.358 0.500
Cd1 Cd 0.000 0.090 0.500
Cd2 Cd 0.000 0.271 0.500
Cd3 Cd 0.000 0.428 0.000
Cd4 Cd 0.000 0.500 0.500
```